First-principles (PBE) data for a geometry-optimized VCo2Ni5 structure, as listed in Alexandria.

POSCAR file:
```
VCo2Ni5
1.0
0.000 4.082 4.383
2.479 0.000 4.383
2.479 4.082 0.000
V Co Ni
1 2 5
direct
0.000 0.000 0.000
0.410 0.910 0.090
0.910 0.410 0.590
0.000 0.497 0.000
0.408 0.408 0.092
0.497 0.000 0.503
0.499 0.499 0.501
0.908 0.908 0.592
```

Output
- E above lowest polymorph (meV/atom) = 12
- total DFT energy (no corrections) (eV/atom) = -6.5842
- space group = Fmm2, No. 42
- DOS at the Fermi energy (states/eV per cell) = 10.71
- energy of formation (eV per atom) = -0.05

First-principles (PBE) data for a geometry-optimized SmTiO3 structure, as listed in Alexandria.

POSCAR file:
```
SmTiO3
1.0
3.913 0.000 0.000
0.000 3.913 0.000
0.000 0.000 3.913
Sm Ti O
1 1 3
direct
0.000 0.000 0.000
0.500 0.500 0.500
0.000 0.500 0.500
0.500 0.000 0.500
0.500 0.500 0.000
```

Output
- uncorrected formation energy (eV/atom) = -3.02
- total DFT energy (no corrections) (eV/atom) = -8.5217
- space group = Pm-3m, No. 221
- DOS at the Fermi energy (states/eV per cell) = 2.13

First-principles (PBE) data for a geometry-optimized BaY3Os structure, as listed in Alexandria.

POSCAR file:
```
BaY3Os
1.0
5.418 0.000 0.000
0.000 5.418 0.000
0.000 0.000 5.418
Ba Y Os
1 3 1
direct
0.000 0.000 0.000
0.000 0.000 0.500
0.000 0.500 0.000
0.500 0.000 0.000
0.500 0.500 0.500
```

Output
- E above lowest polymorph (meV/atom) = 2046
- total DFT energy (no corrections) (eV/atom) = -4.5167
- space group = Pm-3m, No. 221
- DOS at the Fermi energy (states/eV per cell) = 9.21
- energy of formation (eV per atom) = 1.99

First-principles (PBE) data for a geometry-optimized Zr2Zn2F structure, as listed in Alexandria.

POSCAR file:
```
Zr2Zn2F
1.0
6.298 0.000 0.000
0.000 6.298 0.000
0.000 0.000 4.539
Zr Zn F
4 4 2
direct
0.166 0.334 0.000
0.334 0.834 0.000
0.666 0.166 0.000
0.834 0.666 0.000
0.143 0.643 0.500
0.357 0.143 0.500
0.643 0.857 0.500
0.857 0.357 0.500
0.000 0.000 0.000
0.500 0.500 0.000
```

Output
- uncorrected formation energy (eV/atom) = -0.82
- total DFT energy (no corrections) (eV/atom) = -5.1236
- space group = P4/mbm, No. 127
- DOS at the Fermi energy (states/eV per cell) = 8.61

First-principles (PBE) data for a geometry-optimized Hf2Hg2Pb structure, as listed in Alexandria.

POSCAR file:
```
Hf2Hg2Pb
1.0
7.684 0.000 0.000
0.000 7.684 0.000
0.000 0.000 4.062
Hf Hg Pb
4 4 2
direct
0.142 0.358 0.000
0.358 0.858 0.000
0.642 0.142 0.000
0.858 0.642 0.000
0.154 0.654 0.500
0.346 0.154 0.500
0.654 0.846 0.500
0.846 0.346 0.500
0.000 0.000 0.000
0.500 0.500 0.000
```

Output
- E above lowest polymorph (meV/atom) = 0
- total DFT energy (no corrections) (eV/atom) = -4.6838
- space group = P4/mbm, No. 127
- DOS at the Fermi energy (states/eV per cell) = 6.52
- energy of formation (eV per atom) = 0.16